1.
Crystalline KCd2Ir at its relaxed geometry. Source: Alexandria via LeMat-Bulk, functional PBE.

Properties
For the excess energy over the best structure of this formula in the dataset, the calculation gives 51 kJ/mol of formula units. For the formation energy, the calculation gives 1.219 eV per formula unit.

Cell lengths 4.8691, 4.8691, 7.1177 Å; angles 95.32, 95.32, 35.50 degrees
Last column: nearest neighbours and their distance in Å.
Positions (direct):
K 0.0000 0.0000 0.0000  2 K 2.97, 2 Cd 3.29
Cd 0.2329 0.2329 0.6790  3 Ir 2.82-2.89, 4 Cd 2.97-2.99
Cd 0.7671 0.7671 0.3210  3 Ir 2.82-2.89, 4 Cd 2.97-2.99
Ir 0.5000 0.5000 0.5000  6 Cd 2.82-2.89, 2 Ir 2.97

2.
Crystalline CoRe2Mo at its relaxed geometry. Source: Alexandria via LeMat-Bulk, functional PBE.

Properties
For the excess energy over the best structure of this formula in the dataset, the calculation gives 65 kJ/mol of formula units. For the formation energy, the calculation gives 0.863 eV per formula unit.

Cell lengths 9.0646, 9.0646, 9.0646 Å; angles 17.27, 17.27, 17.27 degrees
Last column: nearest neighbours and their distance in Å.
Positions (direct):
Co 0.0000 0.0000 0.0000  6 Re 2.61, 6 Co 2.72
Re 0.2558 0.2558 0.2558  3 Co 2.61, 6 Re 2.72, 3 Mo 2.86
Re 0.7442 0.7442 0.7442  3 Co 2.61, 6 Re 2.72, 3 Mo 2.86
Mo 0.5000 0.5000 0.5000  6 Mo 2.72, 6 Re 2.86

3.
Crystalline Eu2CuH at its relaxed geometry. Source: Alexandria via LeMat-Bulk, functional PBE.

Properties
For the excess energy over the best structure of this formula in the dataset, the calculation gives 42 kJ/mol of formula units.

Cell lengths 3.4430, 3.4430, 7.2211 Å; angles 90.00, 90.00, 90.00 degrees
Last column: nearest neighbours and their distance in Å.
Positions (direct):
Eu 0.0000 0.0000 0.2390  4 H 2.98, 4 Cu 3.08
Eu 0.0000 0.0000 0.7610  4 H 2.98, 4 Cu 3.08
Cu 0.5000 0.5000 0.5000  8 Eu 3.08, 4 Cu 3.44
H 0.5000 0.5000 0.0000  8 Eu 2.98

4.
Crystalline U2Co2P3 at its relaxed geometry. Source: Alexandria via LeMat-Bulk, functional PBE.

Properties
For the excess energy over the best structure of this formula in the dataset, the calculation gives 146 kJ/mol of formula units. For the formation energy, the calculation gives -3.748 eV per formula unit.

Cell lengths 5.0341, 5.0341, 6.2290 Å; angles 105.39, 105.39, 44.72 degrees
Last column: nearest neighbours and their distance in Å.
Positions (direct):
U 0.1239 0.1239 0.2784  4 Co 2.70-2.89, 6 P 2.80-2.91
U 0.8761 0.8761 0.7216  4 Co 2.70-2.89, 6 P 2.80-2.91
Co 0.1808 0.1808 0.7595  3 P 2.33-2.35
Co 0.8192 0.8192 0.2405  3 P 2.33-2.35
P 0.3883 0.3883 0.0759  3 Co 2.33-2.35, 2 P 2.52-2.55
P 0.5000 0.5000 0.5000  2 P 2.55, 4 Co 2.75, 4 U 2.80
P 0.6117 0.6117 0.9241  3 Co 2.33-2.35, 2 P 2.52-2.55

5.
Crystalline TmSc2ReO8 at its relaxed geometry. Source: Alexandria via LeMat-Bulk, functional PBE.

Properties
The uncorrected formation energy is -2785 meV per atom.

Cell lengths 4.8600, 4.8600, 6.4472 Å; angles 90.00, 90.00, 90.38 degrees
Last column: nearest neighbours and their distance in Å.
Positions (direct):
Tm 0.0000 0.0000 0.0000  6 O 2.15-2.27
Sc 0.5000 0.5000 0.2415  6 O 2.02-2.25
Sc 0.5000 0.5000 0.7585  6 O 2.02-2.25
Re 0.0000 0.0000 0.5000  6 O 1.90-1.91
O 0.1900 0.8100 0.2867  1 Re 1.90
O 0.1900 0.8100 0.7133  1 Re 1.90
O 0.2787 0.2787 0.5000  1 Re 1.91
O 0.3132 0.3132 0.0000  2 Sc 2.02, 1 Tm 2.15
O 0.6868 0.6868 0.0000  2 Sc 2.02, 1 Tm 2.15
O 0.7213 0.7213 0.5000  1 Re 1.91
O 0.8100 0.1900 0.2867  1 Re 1.90
O 0.8100 0.1900 0.7133  1 Re 1.90

6.
Crystalline NbMoIr at its relaxed geometry. Source: Alexandria via LeMat-Bulk, functional PBE.

Properties
For the formation energy, the calculation gives -0.137 eV per formula unit.

Cell lengths 3.9824, 3.9824, 6.4645 Å; angles 99.38, 99.38, 88.87 degrees
Last column: nearest neighbours and their distance in Å.
Positions (direct):
Nb 0.1735 0.1735 0.1959  4 Ir 2.76-2.77, 5 Mo 2.79-2.87, 1 Nb 2.83
Nb 0.8265 0.8265 0.8041  4 Ir 2.76-2.77, 5 Mo 2.79-2.87, 1 Nb 2.83
Mo 0.3324 0.3324 0.8109  1 Mo 2.74, 4 Ir 2.79-2.80, 5 Nb 2.79-2.87
Mo 0.6676 0.6676 0.1891  1 Mo 2.74, 4 Ir 2.79-2.80, 5 Nb 2.79-2.87
Ir 0.2497 0.7503 0.5000  4 Nb 2.76-2.77, 4 Ir 2.78-2.84, 4 Mo 2.79-2.80
Ir 0.7503 0.2497 0.5000  4 Nb 2.76-2.77, 4 Ir 2.78-2.84, 4 Mo 2.79-2.80

7.
Crystalline GdInAgGe at its relaxed geometry. Source: Alexandria via LeMat-Bulk, functional PBE.

Properties
For the formation energy, the calculation gives -1.082 eV per formula unit.

Cell lengths 5.0301, 5.0301, 5.0301 Å; angles 60.00, 60.00, 60.00 degrees
Last column: nearest neighbours and their distance in Å.
Positions (direct):
Gd 0.0000 0.0000 0.0000  4 Ag 3.08, 4 Ge 3.08
In 0.5000 0.5000 0.5000  4 Ag 3.08, 4 Ge 3.08
Ag 0.7500 0.7500 0.7500  4 Gd 3.08, 4 In 3.08
Ge 0.2500 0.2500 0.2500  4 Gd 3.08, 4 In 3.08

8.
Crystalline TaBe2Tc at its relaxed geometry. Source: Alexandria via LeMat-Bulk, functional PBE.

Properties
For the excess energy over the best structure of this formula in the dataset, the calculation gives 136 kJ/mol of formula units. For the formation energy, the calculation gives -0.127 eV per formula unit.

Cell lengths 4.0367, 4.0367, 3.0909 Å; angles 90.00, 90.00, 100.67 degrees
Last column: nearest neighbours and their distance in Å.
Positions (direct):
Ta 0.0000 0.0000 0.0000  8 Be 2.54, 2 Tc 2.58
Be 0.0000 0.5000 0.5000  4 Ta 2.54, 4 Tc 2.54, 2 Be 2.58
Be 0.5000 0.0000 0.5000  4 Ta 2.54, 4 Tc 2.54, 2 Be 2.58
Tc 0.5000 0.5000 0.0000  8 Be 2.54, 2 Ta 2.58

9.
Crystalline Np4Fe3Sb8 at its relaxed geometry. Source: Alexandria via LeMat-Bulk, functional PBE.

Properties
The uncorrected formation energy is -90 meV per atom.

Cell lengths 4.3629, 4.3629, 17.7596 Å; angles 90.00, 90.00, 90.00 degrees
Last column: nearest neighbours and their distance in Å.
Positions (direct):
Np 0.0000 0.5000 0.1084  4 Fe 2.91, 4 Sb 3.12
Np 0.0000 0.5000 0.6114  2 Fe 2.94, 4 Sb 3.15
Np 0.5000 0.0000 0.3886  2 Fe 2.94, 4 Sb 3.15
Np 0.5000 0.0000 0.8916  4 Fe 2.91, 4 Sb 3.12
Fe 0.0000 0.0000 0.0000  4 Sb 2.62, 4 Np 2.91
Fe 0.0000 0.0000 0.5000  4 Sb 2.56
Fe 0.5000 0.5000 0.0000  4 Sb 2.62, 4 Np 2.91
Sb 0.0000 0.0000 0.2480  4 Sb 3.09, 4 Np 3.30-3.32
Sb 0.0000 0.0000 0.7520  4 Sb 3.09, 4 Np 3.30-3.32
Sb 0.0000 0.5000 0.4249  2 Fe 2.56
Sb 0.0000 0.5000 0.9184  4 Fe 2.62
Sb 0.5000 0.0000 0.0816  4 Fe 2.62
Sb 0.5000 0.0000 0.5751  2 Fe 2.56
Sb 0.5000 0.5000 0.2478  4 Sb 3.09, 4 Np 3.30-3.32
Sb 0.5000 0.5000 0.7522  4 Sb 3.09, 4 Np 3.30-3.32

10.
Crystalline Ta2OsRu at its relaxed geometry. Source: Alexandria via LeMat-Bulk, functional PBE.

Properties
For the excess energy over the best structure of this formula in the dataset, the calculation gives 65 kJ/mol of formula units. For the formation energy, the calculation gives -0.600 eV per formula unit.

Cell lengths 2.8552, 4.5103, 5.1687 Å; angles 90.00, 101.88, 90.00 degrees
Last column: nearest neighbours and their distance in Å.
Positions (direct):
Ta 0.0000 0.0000 0.0000  2 Os 2.63, 2 Ru 2.65-2.71, 4 Ta 2.86-2.90
Ta 0.2405 0.5000 0.7011  2 Ru 2.62, 2 Os 2.66-2.71, 4 Ta 2.86-2.90
Os 0.7427 0.5000 0.1944  4 Ta 2.63-2.71, 2 Os 2.86
Ru 0.4899 0.0000 0.5093  4 Ta 2.62-2.71, 2 Ru 2.86

11.
Crystalline SrSi2Os at its relaxed geometry. Source: Alexandria via LeMat-Bulk, functional PBE.

Properties
The uncorrected formation energy is -125 meV per atom.

Cell lengths 3.0857, 3.0857, 7.4808 Å; angles 90.00, 90.00, 90.00 degrees
Last column: nearest neighbours and their distance in Å.
Positions (direct):
Sr 0.0000 0.0000 0.0000  4 Sr 3.09, 8 Si 3.20
Si 0.5000 0.5000 0.3123  4 Os 2.59, 1 Si 2.81
Si 0.5000 0.5000 0.6877  4 Os 2.59, 1 Si 2.81
Os 0.0000 0.0000 0.5000  8 Si 2.59

12.
Crystalline GdAl2Ru at its relaxed geometry. Source: Alexandria via LeMat-Bulk, functional PBE.

Properties
For the excess energy over the best structure of this formula in the dataset, the calculation gives 0 kJ/mol of formula units. For the formation energy, the calculation gives -2.131 eV per formula unit.

Cell lengths 3.1416, 3.1416, 7.3318 Å; angles 90.00, 90.00, 90.00 degrees
Last column: nearest neighbours and their distance in Å.
Positions (direct):
Gd 0.0000 0.0000 0.0000  4 Gd 3.14, 8 Al 3.20
Al 0.5000 0.5000 0.3149  4 Ru 2.60, 1 Al 2.71
Al 0.5000 0.5000 0.6851  4 Ru 2.60, 1 Al 2.71
Ru 0.0000 0.0000 0.5000  8 Al 2.60

| no. | DFT total energy (eV/atom) |
| --- | --- |
| 1 | -2.6425 |
| 2 | -10.4925 |
| 3 | -7.0285 |
| 4 | -8.1094 |
| 5 | -8.5558 |
| 6 | -9.9664 |
| 7 | -6.3425 |
| 8 | -7.4496 |
| 9 | -7.4319 |
| 10 | -11.2026 |
| 11 | -6.0643 |
| 12 | -8.2432 |